1.
## Sr2ErOs3O12 (PBE)

Data for a relaxed structure of Sr2ErOs3O12.

Computed properties:
Space-group type: R-3m, No. 166
Calculated volume in Å³ per atom: 13.5
Electronic total energy in eV per atom: -7.336

Cell: 6.7289 6.7289 6.7289 Å, 66.02 66.02 66.02°
With the nearest neighbours (Å) after each atom.
Positions (direct):
Sr: 0.1178 0.1178 0.1178  3 O 2.44
Sr: 0.8822 0.8822 0.8822  3 O 2.44
Er: 0.5000 0.5000 0.5000  6 O 2.42
Os: 0.0000 0.5000 0.5000  6 O 1.89-1.95
Os: 0.5000 0.0000 0.5000  6 O 1.89-1.95
Os: 0.5000 0.5000 0.0000  6 O 1.89-1.95
O: 0.0909 0.6346 0.6346  1 Os 1.89
O: 0.2165 0.2165 0.6141  2 Os 1.95
O: 0.2165 0.6141 0.2165  2 Os 1.95
O: 0.3654 0.3654 0.9091  1 Os 1.89
O: 0.3654 0.9091 0.3654  1 Os 1.89
O: 0.3859 0.7835 0.7835  2 Os 1.95
O: 0.6141 0.2165 0.2165  2 Os 1.95
O: 0.6346 0.0909 0.6346  1 Os 1.89
O: 0.6346 0.6346 0.0909  1 Os 1.89
O: 0.7835 0.3859 0.7835  2 Os 1.95
O: 0.7835 0.7835 0.3859  2 Os 1.95
O: 0.9091 0.3654 0.3654  1 Os 1.89

2.
## Ce2AsN (PBE)

Data for a relaxed structure of Ce2AsN.

Computed properties:
Space-group type: P4/mmm, No. 123
Calculated volume in Å³ per atom: 18.4
Distance to the lowest polymorph of the same formula in eV/atom: 0.4886
Electronic total energy in eV per atom: -7.050

Cell: 3.2169 3.2169 7.1199 Å, 90.00 90.00 90.00°
With the nearest neighbours (Å) after each atom.
Positions (direct):
Ce: 0.0000 0.0000 0.2067  4 N 2.71, 1 Ce 2.94
Ce: 0.0000 0.0000 0.7933  4 N 2.71, 1 Ce 2.94
As: 0.5000 0.5000 0.5000  8 Ce 3.09, 4 As 3.22
N: 0.5000 0.5000 0.0000  8 Ce 2.71

3.
## Ac2ErPuSe4 (PBE)

Data for a relaxed structure of Ac2ErPuSe4.

Computed properties:
Space-group type: P2/m, No. 10
Calculated volume in Å³ per atom: 27.7
Electronic total energy in eV per atom: -6.864

Cell: 7.3501 4.2233 7.5496 Å, 90.00 108.72 90.00°
With the nearest neighbours (Å) after each atom.
Positions (direct):
Ac: 0.0000 0.0000 0.0000  6 Se 3.13
Ac: 0.5000 0.5000 0.0000  6 Se 3.17
Er: 0.0000 0.5000 0.5000  6 Se 2.89-2.90
Pu: 0.5000 0.0000 0.5000  6 Se 2.94
Se: 0.2354 0.0000 0.7210  2 Er 2.90, 1 Pu 2.94, 3 Ac 3.13-3.17
Se: 0.2540 0.5000 0.2761  1 Er 2.89, 2 Pu 2.94, 3 Ac 3.13-3.17
Se: 0.7460 0.5000 0.7239  1 Er 2.89, 2 Pu 2.94, 3 Ac 3.13-3.17
Se: 0.7646 0.0000 0.2790  2 Er 2.90, 1 Pu 2.94, 3 Ac 3.13-3.17

4.
## ScAlRe (PBE)

Data for a relaxed structure of ScAlRe.

Computed properties:
Space-group type: F-43m, No. 216
DFT formation energy in eV per atom: 0.966
Calculated volume in Å³ per atom: 20.6
Distance to the lowest polymorph of the same formula in eV/atom: 1.4014
Electronic total energy in eV per atom: -6.541

Cell: 4.4409 4.4409 4.4409 Å, 60.00 60.00 60.00°
With the nearest neighbours (Å) after each atom.
Positions (direct):
Sc: 0.0000 0.0000 0.0000  4 Re 2.72, 4 Al 2.72
Al: 0.2500 0.2500 0.2500  4 Sc 2.72
Re: 0.7500 0.7500 0.7500  4 Sc 2.72